Density functional theory data (PBE) for a relaxed Pr6HIr2Br3 crystal.

- total energy (eV per atom) = -5.52
- DOS(E_F) (states/eV/f.u.) = 7.304

Lattice parameters (Å, degrees): 7.128 7.128 8.199 98.38 98.38 119.91
Sites, in units of the cell vectors:
1 Pr 0.100 0.435 0.804
2 Pr 0.230 0.230 0.196
3 Pr 0.435 0.100 0.804
4 Pr 0.565 0.900 0.196
5 Pr 0.770 0.770 0.804
6 Pr 0.900 0.565 0.196
7 H 0.500 0.500 0.000
8 Ir 0.167 0.833 0.000
9 Ir 0.833 0.167 0.000
10 Br 0.000 0.000 0.500
11 Br 0.331 0.669 0.500
12 Br 0.669 0.331 0.500